Record 1
{
  "formula": "CsKTiS3",
  "functional": "PBE",
  "state": "relaxed",
  "lattice": [[3.774, -7.274, 0.000], [3.774, 7.274, 0.000], [-1.250, 0.000, 6.655]],
  "species": ["Cs", "Cs", "K", "K", "Ti", "Ti", "S", "S", "S", "S", "S", "S"],
  "frac_coords": [[0.249, 0.751, 0.750], [0.751, 0.249, 0.250], [0.414, 0.586, 0.250], [0.586, 0.414, 0.750], [0.046, 0.954, 0.250], [0.954, 0.046, 0.750], [0.170, 0.238, 0.497], [0.200, 0.800, 0.250], [0.238, 0.170, 0.997], [0.762, 0.830, 0.003], [0.800, 0.200, 0.750], [0.830, 0.762, 0.503]],
  "space_group": "C2/c (15)",
  "formation_energy_uncorrected_mev_per_atom": -1355,
  "volume_a3_per_atom": 30.45,
  "energy_ev_per_cell": -60.718,
  "magnetic_moment_mub_per_fu": 0.00
}

=====

Record 2
{
  "formula": "RuSe",
  "functional": "PBE",
  "state": "relaxed",
  "lattice": [[1.545, 0.892, 9.611], [-1.545, 0.892, 9.611], [0.000, -1.784, 9.611]],
  "species": ["Ru", "Ru", "Se", "Se"],
  "frac_coords": [[0.125, 0.125, 0.125], [0.875, 0.875, 0.875], [0.403, 0.403, 0.403], [0.597, 0.597, 0.597]],
  "space_group": "R-3m (166)",
  "formation_energy_uncorrected_mev_per_atom": 75,
  "volume_a3_per_atom": 19.86,
  "energy_ev_per_cell": -25.223,
  "magnetic_moment_mub_per_fu": 0.00
}

=====

Record 3
{
  "formula": "Ta2TeSe",
  "functional": "PBE",
  "state": "relaxed",
  "lattice": [[-2.172, 2.172, 4.127], [2.172, -2.172, 4.127], [2.172, 2.172, -4.127]],
  "species": ["Ta", "Ta", "Te", "Se"],
  "frac_coords": [[0.000, 0.000, 0.000], [0.750, 0.250, 0.500], [0.250, 0.750, 0.500], [0.500, 0.500, 0.000]],
  "space_group": "I-4m2 (119)",
  "formation_energy_uncorrected_mev_per_atom": 400,
  "volume_a3_per_atom": 19.48,
  "energy_ev_per_cell": -28.732,
  "de_polymorph_mev_per_atom": 773,
  "magnetic_moment_mub_per_fu": 0.00
}

=====

What did the second record say?
{
  "formula": "RuSe",
  "functional": "PBE",
  "state": "relaxed",
  "lattice": [[1.545, 0.892, 9.611], [-1.545, 0.892, 9.611], [0.000, -1.784, 9.611]],
  "species": ["Ru", "Ru", "Se", "Se"],
  "frac_coords": [[0.125, 0.125, 0.125], [0.875, 0.875, 0.875], [0.403, 0.403, 0.403], [0.597, 0.597, 0.597]],
  "space_group": "R-3m (166)",
  "formation_energy_uncorrected_mev_per_atom": 75,
  "volume_a3_per_atom": 19.86,
  "energy_ev_per_cell": -25.223,
  "magnetic_moment_mub_per_fu": 0.00
}